# Er8SnOs2

A relaxed Er8SnOs2 crystal (PBE, the Alexandria database).

Crystal system: monoclinic
Raw total energy, eV/atom: -6.024
Energy of formation from the pure elements, meV per atom: -300

Unit cell a=4.9468 b=7.0142 c=9.1310 alpha=110.10 beta=105.71 gamma=90.01
With the nearest neighbours (Å) after each atom.
Element x y z (fractional)
Er: 0.1707 0.5701 0.9779  2 Os 3.02, 1 Sn 3.08, 4 Er 3.21-3.34
Er: 0.6122 0.2287 0.8608  2 Os 2.96-3.00, 2 Sn 3.19
Er: 0.2929 0.3211 0.2221  3 Os 2.87-3.16, 1 Sn 3.15, 1 Er 3.21
Er: 0.7614 0.9668 0.1591  1 Os 2.80
Er: 0.9736 0.1051 0.5834  2 Os 2.84
Er: 0.3672 0.8228 0.3705  3 Os 2.96-3.15, 4 Er 3.27-3.30
Er: 0.9238 0.5104 0.4840  3 Os 2.90-3.10
Er: 0.5554 0.6738 0.7472  1 Os 2.77
Sn: 0.1246 0.9540 0.8855  9 Er 3.08-3.43
Os: 0.4484 0.2720 0.5330  8 Er 2.77-3.10
Os: 0.7698 0.5751 0.1765  5 Er 2.80-3.02

=====

# Er5SnOs2

A relaxed Er5SnOs2 crystal (PBE, the Alexandria database).

Crystal system: tetragonal
Raw total energy, eV/atom: -6.591
Energy of formation from the pure elements, meV per atom: -432

Unit cell a=7.5198 b=7.5198 c=8.9470 alpha=114.85 beta=114.85 gamma=90.00
With the nearest neighbours (Å) after each atom.
Element x y z (fractional)
Os: 0.8797 0.6203 0.0000  1 Os 2.56
Os: 0.1203 0.3797 0.0000  1 Os 2.56
Os: 0.3797 0.8797 0.0000  1 Os 2.56
Os: 0.6203 0.1203 0.0000  1 Os 2.56
Er: 0.0420 0.5420 0.7355  3 Os 2.90-2.95
Er: 0.3065 0.8065 0.2645  3 Os 2.90-2.95
Er: 0.0000 0.0000 0.0000  4 Os 3.00
Er: 0.8065 0.9580 0.2645  3 Os 2.90-2.95
Er: 0.5000 0.5000 0.0000  4 Os 3.00
Er: 0.4580 0.3065 0.2645  3 Os 2.90-2.95
Er: 0.1935 0.0420 0.7355  3 Os 2.90-2.95
Er: 0.9580 0.4580 0.2645  3 Os 2.90-2.95
Er: 0.5420 0.6935 0.7355  3 Os 2.90-2.95
Er: 0.6935 0.1935 0.7355  3 Os 2.90-2.95
Sn: 0.7500 0.7500 0.5000  10 Er 3.25-3.60
Sn: 0.2500 0.2500 0.5000  10 Er 3.25-3.60

=====

# ErSn6Os

A relaxed ErSn6Os crystal (PBE, the Alexandria database).

Crystal system: monoclinic
Raw total energy, eV/atom: -4.956
Energy of formation from the pure elements, meV per atom: 20

Unit cell a=6.8763 b=6.5653 c=6.4242 alpha=59.27 beta=73.33 gamma=55.85
With the nearest neighbours (Å) after each atom.
Element x y z (fractional)
Sn: 0.2833 0.2734 0.0000  1 Os 2.63
Sn: 0.7505 0.1038 0.4459  1 Os 2.85, 3 Sn 2.87-3.17, 1 Er 3.08
Sn: 0.7167 0.7266 0.0000  1 Os 2.63
Sn: 0.7505 0.5497 0.5541  1 Os 2.85, 3 Sn 2.87-3.17, 1 Er 3.08
Sn: 0.2495 0.4503 0.4459  1 Os 2.85, 3 Sn 2.87-3.17, 1 Er 3.08
Sn: 0.2495 0.8962 0.5541  1 Os 2.85, 3 Sn 2.87-3.17, 1 Er 3.08
Os: 0.5000 0.5000 0.0000  6 Sn 2.63-2.85
Er: 0.0000 0.0000 0.0000  6 Sn 3.08-3.31, 2 Os 3.15

=====

# Er4SnOs

A relaxed Er4SnOs crystal (PBE, the Alexandria database).

Crystal system: monoclinic
Raw total energy, eV/atom: -6.054
Energy of formation from the pure elements, meV per atom: -474

Unit cell a=6.0754 b=8.4845 c=7.9912 alpha=114.63 beta=102.76 gamma=107.46
With the nearest neighbours (Å) after each atom.
Element x y z (fractional)
Er: 0.9485 0.7903 0.1393  2 Os 2.86-2.89, 1 Sn 3.21
Er: 0.7856 0.7210 0.6647  2 Os 2.84-2.85
Er: 0.6209 0.0564 0.3353  2 Os 2.84-2.85
Er: 0.3092 0.6511 0.8607  2 Os 2.86-2.89, 1 Sn 3.21
Er: 0.0515 0.2097 0.8607  2 Os 2.86-2.89, 1 Sn 3.21
Er: 0.2144 0.2790 0.3353  2 Os 2.84-2.85
Er: 0.6908 0.3489 0.1393  2 Os 2.86-2.89, 1 Sn 3.21
Er: 0.3791 0.9436 0.6647  2 Os 2.84-2.85
Os: 0.7498 0.9998 0.9996  8 Er 2.84-2.89, 2 Os 3.04
Os: 0.2502 0.0002 0.0004  8 Er 2.84-2.89, 2 Os 3.04
Sn: 0.3794 0.6294 0.2589  8 Er 3.20-3.43
Sn: 0.6206 0.3706 0.7411  8 Er 3.20-3.43

=====

# Er3SnOs

A relaxed Er3SnOs crystal (PBE, the Alexandria database).

Crystal system: triclinic
Raw total energy, eV/atom: -6.166
Energy of formation from the pure elements, meV per atom: -382

Unit cell a=3.4550 b=8.6444 c=8.8785 alpha=96.59 beta=89.94 gamma=101.52
With the nearest neighbours (Å) after each atom.
Element x y z (fractional)
Sn: 0.4136 0.8612 0.2942  8 Er 3.19-3.33, 2 Sn 3.46
Sn: 0.6296 0.2929 0.1274  8 Er 3.19-3.33, 2 Sn 3.46
Er: 0.0770 0.1879 0.4160  1 Os 2.96, 2 Sn 3.30
Er: 0.2769 0.5875 0.0115  2 Os 2.80
Er: 0.9669 0.9662 0.0055  1 Os 2.95, 2 Sn 3.30
Er: 0.4233 0.8782 0.6546  2 Os 2.79
Er: 0.7672 0.5665 0.4100  2 Os 2.80
Er: 0.6209 0.2759 0.7669  2 Os 2.79
Os: 0.8210 0.6749 0.7870  2 Os 2.65, 5 Er 2.79-2.95
Os: 0.2233 0.4792 0.6345  2 Os 2.65, 5 Er 2.79-2.96

=====

# Er12Sn6Os

A relaxed Er12Sn6Os crystal (PBE, the Alexandria database).

Crystal system: trigonal
Raw total energy, eV/atom: -5.105
Energy of formation from the pure elements, meV per atom: -368

Unit cell a=8.5524 b=8.5524 c=8.5524 alpha=99.58 beta=99.58 gamma=99.58
With the nearest neighbours (Å) after each atom.
Element x y z (fractional)
Sn: 0.1228 0.6381 0.3112  7 Er 3.05-3.24
Sn: 0.3619 0.6888 0.8772  7 Er 3.05-3.24
Sn: 0.3112 0.1228 0.6381  7 Er 3.05-3.24
Sn: 0.6888 0.8772 0.3619  7 Er 3.05-3.24
Sn: 0.8772 0.3619 0.6888  7 Er 3.05-3.24
Sn: 0.6381 0.3112 0.1228  7 Er 3.05-3.24
Er: 0.9434 0.0190 0.6866  1 Os 2.68
Er: 0.4243 0.5574 0.1960  4 Sn 3.05-3.19
Er: 0.5757 0.4426 0.8040  4 Sn 3.05-3.19
Er: 0.0566 0.9810 0.3134  1 Os 2.68
Er: 0.5574 0.1960 0.4243  4 Sn 3.05-3.19
Er: 0.3134 0.0566 0.9810  1 Os 2.68
Er: 0.1960 0.4243 0.5574  4 Sn 3.05-3.19
Er: 0.4426 0.8040 0.5757  4 Sn 3.05-3.19
Er: 0.6866 0.9434 0.0190  1 Os 2.68
Er: 0.0190 0.6866 0.9434  1 Os 2.68
Er: 0.9810 0.3134 0.0566  1 Os 2.68
Er: 0.8040 0.5757 0.4426  4 Sn 3.05-3.19
Os: 0.0000 0.0000 0.0000  6 Er 2.68

=====

# Er6Sn3Os

A relaxed Er6Sn3Os crystal (PBE, the Alexandria database).

Crystal system: monoclinic
Raw total energy, eV/atom: -5.500
Energy of formation from the pure elements, meV per atom: -439

Unit cell a=6.0025 b=8.6268 c=10.7133 alpha=90.00 beta=88.37 gamma=90.00
With the nearest neighbours (Å) after each atom.
Element x y z (fractional)
Sn: 0.0000 0.0000 0.5000  6 Er 3.01-3.10
Sn: 0.8940 0.3879 0.7636  8 Er 3.18-3.55, 1 Sn 3.55
Sn: 0.5000 0.5000 0.0000  6 Er 3.01-3.10
Sn: 0.1060 0.6121 0.2364  8 Er 3.18-3.55, 1 Sn 3.55
Sn: 0.6060 0.8879 0.7364  8 Er 3.18-3.55, 1 Sn 3.55
Sn: 0.3940 0.1121 0.2636  8 Er 3.18-3.55, 1 Sn 3.55
Er: 0.8862 0.6574 0.5603  1 Os 2.78, 1 Sn 3.10
Er: 0.1138 0.3426 0.4397  1 Os 2.78, 1 Sn 3.10
Er: 0.6138 0.1574 0.9397  1 Os 2.78, 1 Sn 3.10
Er: 0.8676 0.9500 0.2339  1 Os 2.64
Er: 0.3676 0.5500 0.7339  1 Os 2.64
Er: 0.4047 0.8010 0.4362  1 Os 2.75, 1 Sn 3.04
Er: 0.3862 0.8426 0.0603  1 Os 2.78, 1 Sn 3.10
Er: 0.9047 0.6990 0.9362  1 Os 2.75, 1 Sn 3.04
Er: 0.0953 0.3010 0.0638  1 Os 2.75, 1 Sn 3.04
Er: 0.6324 0.4500 0.2661  1 Os 2.64
Er: 0.5953 0.1990 0.5638  1 Os 2.75, 1 Sn 3.04
Er: 0.1324 0.0500 0.7661  1 Os 2.64
Os: 0.5000 0.5000 0.5000  6 Er 2.64-2.78
Os: 0.0000 0.0000 0.0000  6 Er 2.64-2.78

=====

# ErTa2Os3

A relaxed ErTa2Os3 crystal (PBE, the Alexandria database).

Crystal system: tetragonal
Raw total energy, eV/atom: -10.661
Energy of formation from the pure elements, meV per atom: -334

Unit cell a=3.1560 b=3.1560 c=10.4916 alpha=90.00 beta=90.00 gamma=90.00
With the nearest neighbours (Å) after each atom.
Element x y z (fractional)
Os: 0.0000 0.0000 0.3012  4 Ta 2.67
Os: 0.0000 0.0000 0.6988  4 Ta 2.67
Os: 0.0000 0.0000 0.0000  8 Ta 2.80
Ta: 0.5000 0.5000 0.8391  8 Os 2.67-2.80
Ta: 0.5000 0.5000 0.1609  8 Os 2.67-2.80
Er: 0.5000 0.5000 0.5000  8 Os 3.05, 4 Er 3.16